w | Here is RbPuTl2 after structural relaxation from Alexandria via LeMat-Bulk. Energies are from GGA-PBE.

The structure belongs to space group P4/mmm (No. 123); the cell edges are 3.816, 3.816 and 9.379 Å and the angles 90.00°, 90.00° and 90.00°. The asymmetric unit holds Rb at (0.000, 0.000, 0.000), Pu at (0.000, 0.000, 0.500) and Tl at (0.500, 0.500, 0.294).

=====

x | Here is RbPuTl2 after structural relaxation from Alexandria via LeMat-Bulk. Energies are from GGA-PBE.

The structure belongs to space group R-3m (No. 166, hexagonal axes); the cell edges are 3.6634, 3.6634 and 34.7307 Å and the angles 90.00°, 90.00° and 120.00°. The asymmetric unit holds Rb at (0.0000, 0.0000, 0.0000), Pu at (0.0000, 0.0000, 0.5000) and Tl at (0.0000, 0.0000, 0.2433).

=====

Relative stability in eV/atom, measured from the most stable structure: w 0.000; x 0.116

=====

w | Here is Pu3Re after structural relaxation from Alexandria via LeMat-Bulk. Energies are from GGA-PBE.

The structure belongs to space group Fm-3m (No. 225); the cell edges are 6.778, 6.778 and 6.778 Å and the angles 90.00°, 90.00° and 90.00°. The asymmetric unit holds Pu at (0.000, 0.000, 0.000), Pu at (0.250, 0.250, 0.250) and Re at (0.000, 0.000, 0.500).

=====

x | Here is Pu3Re after structural relaxation from Alexandria via LeMat-Bulk. Energies are from GGA-PBE.

The structure belongs to space group Imm2 (No. 44); the cell edges are 2.772, 9.609 and 5.895 Å and the angles 90.00°, 90.00° and 90.00°. The asymmetric unit holds Pu at (0.000, 0.000, 0.000), Pu at (0.000, 0.231, 0.198) and Re at (0.000, 0.500, 0.015).

=====

Relative stability in eV/atom, measured from the most stable structure: w 0.000; x 0.111

=====

w | Here is PuRe2Si2 after structural relaxation from Alexandria via LeMat-Bulk. Energies are from GGA-PBE.

The structure belongs to space group I4/mmm (No. 139); the cell edges are 4.011, 4.011 and 10.614 Å and the angles 90.00°, 90.00° and 90.00°. The asymmetric unit holds Pu at (0.000, 0.000, 0.000), Re at (0.000, 0.500, 0.250) and Si at (0.000, 0.000, 0.386).

=====

x | Here is PuRe2Si2 after structural relaxation from Alexandria via LeMat-Bulk. Energies are from GGA-PBE.

The structure belongs to space group Imma (No. 74); the cell edges are 4.050, 4.106 and 20.872 Å and the angles 90.00°, 90.00° and 90.00°. The asymmetric unit holds Pu at (0.000, 0.250, 0.165), Re at (0.000, 0.250, 0.457), Re at (0.000, 0.250, 0.962), Si at (0.000, 0.250, 0.610) and Si at (0.000, 0.250, 0.723).

=====

Relative stability in eV/atom, measured from the most stable structure: w 0.050; x 0.000

=====

w | Here is TbPuRe after structural relaxation from Alexandria via LeMat-Bulk. Energies are from GGA-PBE.

The structure belongs to space group I4mm (No. 107); the cell edges are 3.361, 3.361 and 12.412 Å and the angles 90.00°, 90.00° and 90.00°. The asymmetric unit holds Tb at (0.000, 0.000, 0.000), Pu at (0.000, 0.000, 0.277) and Re at (0.000, 0.000, 0.647).

=====

x | Here is TbPuRe after structural relaxation from Alexandria via LeMat-Bulk. Energies are from GGA-PBE.

The structure belongs to space group R3m (No. 160, hexagonal axes); the cell edges are 4.7674, 4.7674 and 11.6414 Å and the angles 90.00°, 90.00° and 120.00°. The asymmetric unit holds Tb at (0.0000, 0.0000, 0.0000), Pu at (0.0000, 0.0000, 0.5003) and Re at (0.0000, 0.0000, 0.2504).

=====

Relative stability in eV/atom, measured from the most stable structure: w 0.000; x 0.202

=====

w | Here is PuReTc after structural relaxation from Alexandria via LeMat-Bulk. Energies are from GGA-PBE.

The structure belongs to space group C2/m (No. 12); the cell edges are 8.147, 5.656 and 5.044 Å and the angles 90.00°, 102.81° and 90.00°. The asymmetric unit holds Pu at (0.131, 0.000, 0.373), Re at (0.000, 0.500, 0.256) and Tc at (0.250, 0.250, 0.000).

=====

x | Here is PuReTc after structural relaxation from Alexandria via LeMat-Bulk. Energies are from GGA-PBE.

The structure belongs to space group I4mm (No. 107); the cell edges are 3.030, 3.030 and 11.837 Å and the angles 90.00°, 90.00° and 90.00°. The asymmetric unit holds Pu at (0.000, 0.000, 0.000), Re at (0.000, 0.000, 0.311) and Tc at (0.000, 0.000, 0.691).

=====

Relative stability in eV/atom, measured from the most stable structure: w 0.126; x 0.000

=====

w | Here is PuTh2Re after structural relaxation from Alexandria via LeMat-Bulk. Energies are from GGA-PBE.

The structure belongs to space group R-3m (No. 166, hexagonal axes); the cell edges are 3.4222, 3.4222 and 32.0426 Å and the angles 90.00°, 90.00° and 120.00°. The asymmetric unit holds Pu at (0.0000, 0.0000, 0.0000), Th at (0.0000, 0.0000, 0.0978) and Re at (0.0000, 0.0000, 0.5000).

=====

x | Here is PuTh2Re after structural relaxation from Alexandria via LeMat-Bulk. Energies are from GGA-PBE.

The structure belongs to space group P4/mmm (No. 123); the cell edges are 3.534, 3.534 and 8.211 Å and the angles 90.00°, 90.00° and 90.00°. The asymmetric unit holds Pu at (0.000, 0.000, 0.000), Th at (0.500, 0.500, 0.282) and Re at (0.000, 0.000, 0.500).

=====

Relative stability in eV/atom, measured from the most stable structure: w 0.406; x 0.000

=====

w | Here is PuU2Re after structural relaxation from Alexandria via LeMat-Bulk. Energies are from GGA-PBE.

The structure belongs to space group P4/mmm (No. 123); the cell edges are 4.954, 4.954 and 3.145 Å and the angles 90.00°, 90.00° and 90.00°. The asymmetric unit holds Pu at (0.000, 0.000, 0.000), U at (0.000, 0.500, 0.500) and Re at (0.500, 0.500, 0.000).

=====

x | Here is PuU2Re after structural relaxation from Alexandria via LeMat-Bulk. Energies are from GGA-PBE.

The structure belongs to space group Fm-3m (No. 225); the cell edges are 6.712, 6.712 and 6.712 Å and the angles 90.00°, 90.00° and 90.00°. The asymmetric unit holds Pu at (0.000, 0.000, 0.000), U at (0.250, 0.250, 0.250) and Re at (0.000, 0.000, 0.500).

=====

y | Here is PuU2Re after structural relaxation from Alexandria via LeMat-Bulk. Energies are from GGA-PBE.

The structure belongs to space group P4/mmm (No. 123); the cell edges are 3.346, 3.346 and 6.772 Å and the angles 90.00°, 90.00° and 90.00°. The asymmetric unit holds Pu at (0.000, 0.000, 0.000), U at (0.500, 0.500, 0.239) and Re at (0.000, 0.000, 0.500).

=====

Relative stability in eV/atom, measured from the most stable structure: w 0.000; x 0.035; y 0.052

=====

w | Here is PuV2Re after structural relaxation from Alexandria via LeMat-Bulk. Energies are from GGA-PBE.

The structure belongs to space group P4/mmm (No. 123); the cell edges are 4.561, 4.561 and 2.993 Å and the angles 90.00°, 90.00° and 90.00°. The asymmetric unit holds Pu at (0.000, 0.000, 0.000), V at (0.000, 0.500, 0.500) and Re at (0.500, 0.500, 0.000).

=====

x | Here is PuV2Re after structural relaxation from Alexandria via LeMat-Bulk. Energies are from GGA-PBE.

The structure belongs to space group P4/mmm (No. 123); the cell edges are 3.031, 3.031 and 7.053 Å and the angles 90.00°, 90.00° and 90.00°. The asymmetric unit holds Pu at (0.000, 0.000, 0.000), V at (0.500, 0.500, 0.286) and Re at (0.000, 0.000, 0.500).

=====

Relative stability in eV/atom, measured from the most stable structure: w 0.120; x 0.000

=====

w | Here is Pu5Rh4 after structural relaxation from Alexandria via LeMat-Bulk. Energies are from GGA-PBE.

The structure belongs to space group C2/m (No. 12); the cell edges are 9.609, 10.386 and 3.553 Å and the angles 90.00°, 105.69° and 90.00°. The asymmetric unit holds Pu at (0.000, 0.000, 0.000), Pu at (0.000, 0.338, 0.000), Pu at (0.176, 0.500, 0.742) and Rh at (0.159, 0.179, 0.647).

=====

x | Here is Pu5Rh4 after structural relaxation from Alexandria via LeMat-Bulk. Energies are from GGA-PBE.

The structure belongs to space group C2/m (No. 12); the cell edges are 10.753, 4.042 and 9.827 Å and the angles 90.00°, 112.67° and 90.00°. The asymmetric unit holds Pu at (0.000, 0.000, 0.000), Pu at (0.104, 0.000, 0.396), Pu at (0.243, 0.000, 0.828), Rh at (0.042, 0.500, 0.841) and Rh at (0.134, 0.500, 0.610).

=====

Relative stability in eV/atom, measured from the most stable structure: w 0.085; x 0.000

=====

w | Here is Pu8Ru2Rh3 after structural relaxation from Alexandria via LeMat-Bulk. Energies are from GGA-PBE.

The structure belongs to space group C2/m (No. 12); the cell edges are 11.338, 9.741 and 5.294 Å and the angles 90.00°, 115.78° and 90.00°. The asymmetric unit holds Pu at (0.074, 0.000, 0.279), Pu at (0.138, 0.500, 0.606), Pu at (0.160, 0.259, 0.149), Ru at (0.208, 0.000, 0.859), Rh at (0.000, 0.236, 0.500) and Rh at (0.000, 0.500, 0.000).

=====

x | Here is Pu8Ru2Rh3 after structural relaxation from Alexandria via LeMat-Bulk. Energies are from GGA-PBE.

The structure belongs to space group C2/m (No. 12); the cell edges are 14.050, 7.398 and 4.895 Å and the angles 90.00°, 97.75° and 90.00°. The asymmetric unit holds Pu at (0.152, 0.246, 0.091), Pu at (0.161, 0.500, 0.451), Pu at (0.165, 0.000, 0.447), Ru at (0.034, 0.000, 0.771), Rh at (0.000, 0.309, 0.500) and Rh at (0.000, 0.500, 0.000).

=====

Relative stability in eV/atom, measured from the most stable structure: w 0.000; x 0.146

=====

w | Here is Pu4RuRh2 after structural relaxation from Alexandria via LeMat-Bulk. Energies are from GGA-PBE.

The structure belongs to space group I4/mmm (No. 139); the cell edges are 6.732, 6.732 and 6.864 Å and the angles 90.00°, 90.00° and 90.00°. The asymmetric unit holds Pu at (0.250, 0.250, 0.250), Ru at (0.000, 0.000, 0.000) and Rh at (0.000, 0.500, 0.000).

=====

x | Here is Pu4RuRh2 after structural relaxation from Alexandria via LeMat-Bulk. Energies are from GGA-PBE.

The structure belongs to space group I-42d (No. 122); the cell edges are 8.403, 8.403 and 8.571 Å and the angles 90.00°, 90.00° and 90.00°. The asymmetric unit holds Pu at (0.070, 0.184, 0.303), Ru at (0.000, 0.000, 0.000) and Rh at (0.118, 0.250, 0.625).

=====

Relative stability in eV/atom, measured from the most stable structure: w 0.078; x 0.000

=====

w | Here is Pu8Ru3Rh2 after structural relaxation from Alexandria via LeMat-Bulk. Energies are from GGA-PBE.

The structure belongs to space group C2/m (No. 12); the cell edges are 11.316, 9.718 and 5.480 Å and the angles 90.00°, 118.01° and 90.00°. The asymmetric unit holds Pu at (0.135, 0.000, 0.133), Pu at (0.159, 0.229, 0.673), Pu at (0.163, 0.500, 0.297), Ru at (0.000, 0.000, 0.500), Ru at (0.000, 0.273, 0.000) and Rh at (0.103, 0.500, 0.765).

=====

x | Here is Pu8Ru3Rh2 after structural relaxation from Alexandria via LeMat-Bulk. Energies are from GGA-PBE.

The structure belongs to space group C2/m (No. 12); the cell edges are 13.501, 10.062 and 4.012 Å and the angles 90.00°, 104.92° and 90.00°. The asymmetric unit holds Pu at (0.053, 0.000, 0.288), Pu at (0.137, 0.500, 0.613), Pu at (0.143, 0.220, 0.133), Ru at (0.000, 0.269, 0.500), Ru at (0.000, 0.500, 0.000) and Rh at (0.229, 0.000, 0.778).

=====

Relative stability in eV/atom, measured from the most stable structure: w 0.030; x 0.000